1.
# Zn3HBr, optimized geometry, DFT GGA-PBEsol
# Density of states at the Fermi level   0.484 states/eV/atom
# Energy   -0.816 eV/atom
data_Zn3HBr
_chemical_formula_sum 'Zn3 H1 Br1'
_space_group_name_H-M_alt 'P m -3 m'
_space_group_IT_number 221
_space_group_name_Hall '-P 4 2 3'
_cell_length_a 5.334
_cell_length_b 5.334
_cell_length_c 5.334
_cell_angle_alpha 90.00
_cell_angle_beta 90.00
_cell_angle_gamma 90.00
loop_
_atom_site_label
_atom_site_type_symbol
_atom_site_fract_x
_atom_site_fract_y
_atom_site_fract_z
Zn1 Zn 0.000 0.000 0.500
H1 H 0.500 0.500 0.500
Br1 Br 0.000 0.000 0.000

***

2.
# HfBr4, optimized geometry, DFT GGA-PBEsol
# Density of states at the Fermi level   0.000 states/eV/atom
# ΔE_f (raw)   -1.271 eV/atom
data_HfBr4
_chemical_formula_sum 'Hf8 Br32'
_space_group_name_H-M_alt 'P a -3'
_space_group_IT_number 205
_space_group_name_Hall '-P 2ac 2ab 3'
_cell_length_a 11.579
_cell_length_b 11.579
_cell_length_c 11.579
_cell_angle_alpha 90.00
_cell_angle_beta 90.00
_cell_angle_gamma 90.00
loop_
_atom_site_label
_atom_site_type_symbol
_atom_site_fract_x
_atom_site_fract_y
_atom_site_fract_z
Hf1 Hf 0.129 0.129 0.129
Br1 Br 0.004 0.250 0.011
Br2 Br 0.249 0.749 0.751

***

3.
# HfI2Br, optimized geometry, DFT GGA-PBEsol
# Density of states at the Fermi level   0.606 states/eV/atom
# ΔE_f (raw)   -0.142 eV/atom
data_HfI2Br
_chemical_formula_sum 'Hf4 I8 Br4'
_space_group_name_H-M_alt 'F m -3 m'
_space_group_IT_number 225
_space_group_name_Hall '-F 4 2 3'
_cell_length_a 7.343
_cell_length_b 7.343
_cell_length_c 7.343
_cell_angle_alpha 90.00
_cell_angle_beta 90.00
_cell_angle_gamma 90.00
loop_
_atom_site_label
_atom_site_type_symbol
_atom_site_fract_x
_atom_site_fract_y
_atom_site_fract_z
Hf1 Hf 0.000 0.000 0.000
I1 I 0.250 0.250 0.250
Br1 Br 0.000 0.000 0.500

***

4.
# HfSe2IBr, optimized geometry, DFT GGA-PBEsol
# Density of states at the Fermi level   0.908 states/eV/atom
# ΔE_f (raw)   -0.480 eV/atom
data_HfSe2IBr
_chemical_formula_sum 'Hf1 Se2 I1 Br1'
_space_group_name_H-M_alt 'P 4/m m m'
_space_group_IT_number 123
_space_group_name_Hall '-P 4 2'
_cell_length_a 5.153
_cell_length_b 5.153
_cell_length_c 5.176
_cell_angle_alpha 90.00
_cell_angle_beta 90.00
_cell_angle_gamma 90.00
loop_
_atom_site_label
_atom_site_type_symbol
_atom_site_fract_x
_atom_site_fract_y
_atom_site_fract_z
Hf1 Hf 0.000 0.000 0.000
Se1 Se 0.000 0.500 0.000
I1 I 0.500 0.500 0.500
Br1 Br 0.000 0.000 0.500

***

5.
# HfSiI2Br, optimized geometry, DFT GGA-PBEsol
# Density of states at the Fermi level   0.754 states/eV/atom
# ΔE_f (raw)   0.428 eV/atom
data_HfSiI2Br
_chemical_formula_sum 'Hf1 Si1 I2 Br1'
_space_group_name_H-M_alt 'P 4/m m m'
_space_group_IT_number 123
_space_group_name_Hall '-P 4 2'
_cell_length_a 5.314
_cell_length_b 5.314
_cell_length_c 5.244
_cell_angle_alpha 90.00
_cell_angle_beta 90.00
_cell_angle_gamma 90.00
loop_
_atom_site_label
_atom_site_type_symbol
_atom_site_fract_x
_atom_site_fract_y
_atom_site_fract_z
Hf1 Hf 0.000 0.000 0.000
Si1 Si 0.000 0.000 0.500
I1 I 0.000 0.500 0.500
Br1 Br 0.500 0.500 0.000

***

6.
# Hf2NbInBr, optimized geometry, DFT GGA-PBEsol
# Density of states at the Fermi level   1.473 states/eV/atom
# ΔE_f (raw)   1.572 eV/atom
data_Hf2NbInBr
_chemical_formula_sum 'Hf2 Nb1 In1 Br1'
_space_group_name_H-M_alt 'P 4/m m m'
_space_group_IT_number 123
_space_group_name_Hall '-P 4 2'
_cell_length_a 5.210
_cell_length_b 5.210
_cell_length_c 5.073
_cell_angle_alpha 90.00
_cell_angle_beta 90.00
_cell_angle_gamma 90.00
loop_
_atom_site_label
_atom_site_type_symbol
_atom_site_fract_x
_atom_site_fract_y
_atom_site_fract_z
Hf1 Hf 0.000 0.500 0.000
Nb1 Nb 0.000 0.000 0.500
In1 In 0.000 0.000 0.000
Br1 Br 0.500 0.500 0.500

***

7.
# HfTlInBr2, optimized geometry, DFT GGA-PBEsol
# Density of states at the Fermi level   0.913 states/eV/atom
# ΔE_f (raw)   0.519 eV/atom
data_HfTlInBr2
_chemical_formula_sum 'Hf1 Tl1 In1 Br2'
_space_group_name_H-M_alt 'P 4/m m m'
_space_group_IT_number 123
_space_group_name_Hall '-P 4 2'
_cell_length_a 5.450
_cell_length_b 5.450
_cell_length_c 5.738
_cell_angle_alpha 90.00
_cell_angle_beta 90.00
_cell_angle_gamma 90.00
loop_
_atom_site_label
_atom_site_type_symbol
_atom_site_fract_x
_atom_site_fract_y
_atom_site_fract_z
Hf1 Hf 0.000 0.000 0.000
Tl1 Tl 0.500 0.500 0.000
In1 In 0.000 0.000 0.500
Br1 Br 0.000 0.500 0.500

***

8.
# HfIrRuBr2, optimized geometry, DFT GGA-PBEsol
# Density of states at the Fermi level   1.546 states/eV/atom
# ΔE_f (raw)   1.328 eV/atom
data_HfIrRuBr2
_chemical_formula_sum 'Hf1 Ir1 Ru1 Br2'
_space_group_name_H-M_alt 'P 4/m m m'
_space_group_IT_number 123
_space_group_name_Hall '-P 4 2'
_cell_length_a 4.870
_cell_length_b 4.870
_cell_length_c 5.017
_cell_angle_alpha 90.00
_cell_angle_beta 90.00
_cell_angle_gamma 90.00
loop_
_atom_site_label
_atom_site_type_symbol
_atom_site_fract_x
_atom_site_fract_y
_atom_site_fract_z
Hf1 Hf 0.000 0.000 0.000
Ir1 Ir 0.000 0.000 0.500
Ru1 Ru 0.500 0.500 0.000
Br1 Br 0.000 0.500 0.500

***

9.
# KHfBr3, optimized geometry, DFT GGA-PBEsol
# Density of states at the Fermi level   0.370 states/eV/atom
# ΔE_f (raw)   -1.023 eV/atom
data_KHfBr3
_chemical_formula_sum 'K1 Hf1 Br3'
_space_group_name_H-M_alt 'P m -3 m'
_space_group_IT_number 221
_space_group_name_Hall '-P 4 2 3'
_cell_length_a 5.264
_cell_length_b 5.264
_cell_length_c 5.264
_cell_angle_alpha 90.00
_cell_angle_beta 90.00
_cell_angle_gamma 90.00
loop_
_atom_site_label
_atom_site_type_symbol
_atom_site_fract_x
_atom_site_fract_y
_atom_site_fract_z
K1 K 0.000 0.000 0.000
Hf1 Hf 0.500 0.500 0.500
Br1 Br 0.000 0.500 0.500

***

10.
# K2HfSeBr, optimized geometry, DFT GGA-PBEsol
# Density of states at the Fermi level   0.658 states/eV/atom
# ΔE_f (raw)   0.361 eV/atom
data_K2HfSeBr
_chemical_formula_sum 'K2 Hf1 Se1 Br1'
_space_group_name_H-M_alt 'P 4/m m m'
_space_group_IT_number 123
_space_group_name_Hall '-P 4 2'
_cell_length_a 6.725
_cell_length_b 6.725
_cell_length_c 4.950
_cell_angle_alpha 90.00
_cell_angle_beta 90.00
_cell_angle_gamma 90.00
loop_
_atom_site_label
_atom_site_type_symbol
_atom_site_fract_x
_atom_site_fract_y
_atom_site_fract_z
K1 K 0.000 0.500 0.000
Hf1 Hf 0.000 0.000 0.000
Se1 Se 0.500 0.500 0.500
Br1 Br 0.000 0.000 0.500

***

11.
# LaHfBr3, optimized geometry, DFT GGA-PBEsol
# Density of states at the Fermi level   1.673 states/eV/atom
# ΔE_f (raw)   -0.223 eV/atom
data_LaHfBr3
_chemical_formula_sum 'La1 Hf1 Br3'
_space_group_name_H-M_alt 'P m -3 m'
_space_group_IT_number 221
_space_group_name_Hall '-P 4 2 3'
_cell_length_a 5.753
_cell_length_b 5.753
_cell_length_c 5.753
_cell_angle_alpha 90.00
_cell_angle_beta 90.00
_cell_angle_gamma 90.00
loop_
_atom_site_label
_atom_site_type_symbol
_atom_site_fract_x
_atom_site_fract_y
_atom_site_fract_z
La1 La 0.000 0.000 0.000
Hf1 Hf 0.500 0.500 0.500
Br1 Br 0.000 0.000 0.500

***

12.
# Li3HfBr, optimized geometry, DFT GGA-PBEsol
# Density of states at the Fermi level   1.127 states/eV/atom
# ΔE_f (raw)   1.063 eV/atom
data_Li3HfBr
_chemical_formula_sum 'Li3 Hf1 Br1'
_space_group_name_H-M_alt 'P m -3 m'
_space_group_IT_number 221
_space_group_name_Hall '-P 4 2 3'
_cell_length_a 5.476
_cell_length_b 5.476
_cell_length_c 5.476
_cell_angle_alpha 90.00
_cell_angle_beta 90.00
_cell_angle_gamma 90.00
loop_
_atom_site_label
_atom_site_type_symbol
_atom_site_fract_x
_atom_site_fract_y
_atom_site_fract_z
Li1 Li 0.000 0.000 0.500
Hf1 Hf 0.000 0.000 0.000
Br1 Br 0.500 0.500 0.500

***

13.
# LiHfBr3, optimized geometry, DFT GGA-PBEsol
# Density of states at the Fermi level   0.494 states/eV/atom
# ΔE_f (raw)   -0.727 eV/atom
data_LiHfBr3
_chemical_formula_sum 'Li1 Hf1 Br3'
_space_group_name_H-M_alt 'P m -3 m'
_space_group_IT_number 221
_space_group_name_Hall '-P 4 2 3'
_cell_length_a 5.227
_cell_length_b 5.227
_cell_length_c 5.227
_cell_angle_alpha 90.00
_cell_angle_beta 90.00
_cell_angle_gamma 90.00
loop_
_atom_site_label
_atom_site_type_symbol
_atom_site_fract_x
_atom_site_fract_y
_atom_site_fract_z
Li1 Li 0.000 0.000 0.000
Hf1 Hf 0.500 0.500 0.500
Br1 Br 0.000 0.500 0.500